Compound: PrZn4Ga
Source: Alexandria
Functional: GGA-PBE
Structure: optimized geometry

The structure in CIF format:
```
data_PrZn4Ga
_cell_length_a 7.726
_cell_length_b 7.726
_cell_length_c 7.726
_cell_angle_alpha 90.00
_cell_angle_beta 90.00
_cell_angle_gamma 90.00
_symmetry_space_group_name_H-M 'F -4 3 m'
_symmetry_Int_Tables_number 216
_symmetry_space_group_name_Hall 'F -4 2 3'
loop_
_atom_site_label
_atom_site_type_symbol
_atom_site_fract_x
_atom_site_fract_y
_atom_site_fract_z
_atom_site_occupancy
Pr1 Pr 0.000 0.000 0.000 1
Zn1 Zn 0.125 0.125 0.375 1
Ga1 Ga 0.250 0.250 0.750 1
```

Output
Theoretical density, g/cm3: 6.80
Formation energy from the elements, eV per atom: -0.145
DFT total energy, eV per atom: -2.296
Magnetic moment, μB/f.u.: 0.000

***

Compound: TbMg3Zn
Source: Alexandria
Functional: GGA-PBE
Structure: optimized geometry

The structure in CIF format:
```
data_TbMg3Zn
_cell_length_a 7.589
_cell_length_b 3.794
_cell_length_c 8.423
_cell_angle_alpha 90.00
_cell_angle_beta 107.12
_cell_angle_gamma 90.00
_symmetry_space_group_name_H-M 'P 1 21/m 1'
_symmetry_Int_Tables_number 11
loop_
_symmetry_equiv_pos_as_xyz
'x,y,z'
'-x,-y,-z'
'-x,y+1/2,-z'
'x,-y+1/2,z'
loop_
_atom_site_label
_atom_site_type_symbol
_atom_site_fract_x
_atom_site_fract_y
_atom_site_fract_z
_atom_site_occupancy
Tb1 Tb 0.169 0.250 0.161 1
Mg1 Mg 0.087 0.250 0.651 1
Mg2 Mg 0.332 0.750 0.904 1
Mg3 Mg 0.337 0.750 0.512 1
Zn1 Zn 0.494 0.750 0.249 1
```

Output
Theoretical density, g/cm3: 4.26
Formation energy from the elements, eV per atom: -0.124
DFT total energy, eV per atom: -2.262
Magnetic moment, μB/f.u.: 0.000

***

Compound: Dy7Sb2Ir2
Source: Alexandria
Functional: GGA-PBE
Structure: optimized geometry

The structure in CIF format:
```
data_Dy7Sb2Ir2
_cell_length_a 8.742
_cell_length_b 10.507
_cell_length_c 7.118
_cell_angle_alpha 90.00
_cell_angle_beta 90.00
_cell_angle_gamma 90.00
_symmetry_space_group_name_H-M 'C m m m'
_symmetry_Int_Tables_number 65
_symmetry_space_group_name_Hall '-C 2 2'
loop_
_atom_site_label
_atom_site_type_symbol
_atom_site_fract_x
_atom_site_fract_y
_atom_site_fract_z
_atom_site_occupancy
Dy1 Dy 0.000 0.000 0.000 1
Dy2 Dy 0.000 0.500 0.232 1
Dy3 Dy 0.250 0.250 0.242 1
Sb1 Sb 0.210 0.000 0.500 1
Ir1 Ir 0.000 0.278 0.000 1
```

Output
Theoretical density, g/cm3: 8.97
DFT total energy, eV per atom: -5.936
Magnetic moment, μB/f.u.: 0.000